This record from the Alexandria database describes a PBEsol-optimized structure of BaSiCl. The functional is SCAN.

Results
space-group type	P3m1 (156)
total magnetization	1.2	Bohr magnetons per cell
ΔE_f (raw)	-0.42	eV per atom
volume	37.366	A^3/atom

```
3
Lattice="4.271 0.000 0.000 -2.136 3.699 0.000 0.000 0.000 7.095" Properties=species:S:1:pos:R:3 pbc="T T T"
Si 2.136 1.233 2.127
Ba 0.000 0.000 6.869
Cl 0.000 2.466 5.195
```


This record from the Alexandria database describes a PBEsol-optimized structure of ScSbTeI2. The functional is SCAN.

Results
space-group type	P4/mmm (123)
total magnetization	0.7	Bohr magnetons per cell
ΔE_f (raw)	-0.19	eV per atom
volume	34.144	A^3/atom

```
5
Lattice="5.355 0.000 0.000 0.000 5.355 0.000 0.000 0.000 5.953" Properties=species:S:1:pos:R:3 pbc="T T T"
I 0.000 2.678 0.000
I 2.678 0.000 0.000
Sb 0.000 0.000 2.977
Te 2.678 2.678 2.977
Sc 0.000 0.000 0.000
```


This record from the Alexandria database describes a PBEsol-optimized structure of NbOF3. The functional is SCAN.

Results
space-group type	P4_1 (76)
total magnetization	0.0	Bohr magnetons per cell
ΔE_f (raw)	-2.96	eV per atom
volume	14.150	A^3/atom

```
20
Lattice="5.458 0.000 0.000 0.000 5.458 0.000 0.000 0.000 9.500" Properties=species:S:1:pos:R:3 pbc="T T T"
Nb 3.191 5.145 4.762
Nb 5.145 2.267 2.387
Nb 0.313 3.191 7.137
Nb 2.267 0.313 0.012
O 2.952 1.147 5.630
O 4.311 2.952 8.005
O 1.147 2.506 3.255
O 2.506 4.311 0.880
F 3.277 1.529 1.179
F 3.653 0.215 8.245
F 3.929 3.277 3.554
F 4.479 0.535 3.376
F 5.243 3.653 1.120
F 4.924 4.479 5.751
F 0.535 0.979 1.001
F 0.215 1.805 5.870
F 0.979 4.924 8.126
F 1.529 2.181 8.304
F 1.805 5.243 3.495
F 2.181 3.929 5.929
```